Entry 1:
PBE Rb8Au3, optimized geometry; volume = 648 Å³ per cell; DOS at the Fermi energy = 11.8 states/eV/cell; magnetic moment = 0.04 Bohr magnetons per cell; ΔH_f (0 K) = -0.1279 eV per atom; symmetry = R-3
1.0
-2.8850 -7.8312 2.2897
-3.5289 -1.0572 -7.8309
7.3208 -3.6065 -2.8797
Rb Au
8 3
direct
0.6570 0.6570 0.6570
0.6561 0.1614 0.8369
0.1631 0.3439 0.8386
0.3439 0.8386 0.1631
0.1614 0.8369 0.6561
0.8369 0.6561 0.1614
0.3429 0.3429 0.3429
0.8386 0.1631 0.3439
0.5000 0.5000 0.0000
0.0000 0.5000 0.5000
0.5000 0.0000 0.5000



Entry 2:
PBE Rb3Au, optimized geometry; volume = 1800 Å³ per cell; DOS at the Fermi energy = 15.0 states/eV/cell; magnetic moment = 0.00 Bohr magnetons per cell; ΔH_f (0 K) = -0.1348 eV per atom; symmetry = P4_2/n
1.0
-5.4245 3.9010 -4.8656
-10.7230 -2.7371 9.7603
2.9953 12.7179 6.8573
Rb Au
24 8
direct
0.4249 0.0829 0.3668
0.5751 0.6332 0.0829
0.5678 0.3411 0.2153
0.7493 0.5574 0.3764
0.9322 0.1589 0.2847
0.4249 0.9171 0.6332
0.9249 0.1332 0.5829
0.2493 0.8764 0.9426
0.7493 0.4426 0.6236
0.4322 0.2153 0.6589
0.9249 0.8668 0.4171
0.2507 0.3764 0.4426
0.0678 0.2847 0.8411
0.9322 0.8411 0.7153
0.0751 0.5829 0.8668
0.2493 0.1236 0.0574
0.7507 0.0574 0.8764
0.5678 0.6589 0.7847
0.2507 0.6236 0.5574
0.0751 0.4171 0.1332
0.4322 0.7847 0.3411
0.7507 0.9426 0.1236
0.5751 0.3668 0.9171
0.0678 0.7153 0.1589
0.8442 0.7782 0.9476
0.6558 0.2782 0.4476
0.6558 0.7218 0.5524
0.3442 0.4476 0.7218
0.8442 0.2218 0.0524
0.3442 0.5524 0.2782
0.1558 0.9476 0.2218
0.1558 0.0524 0.7782



Entry 3:
PBE Rb3Au2, optimized geometry; volume = 523 Å³ per cell; excess energy over the best structure of this formula in the dataset = 3.04 kJ/mol of atoms; DOS at the Fermi energy = 8.6 states/eV/cell; magnetic moment = 0.57 Bohr magnetons per cell; ΔH_f (0 K) = -0.2024 eV per atom; symmetry = R-3c
1.0
8.5542 0.0000 0.0000
4.2771 7.4081 0.0000
4.2771 2.4694 8.2497
Au Rb
4 6
direct
0.6611 0.6611 0.0168
0.3389 0.3389 0.9832
0.1611 0.1611 0.5168
0.8389 0.8389 0.4832
0.9319 0.2500 0.2500
0.5681 0.9319 0.2500
0.0681 0.7500 0.7500
0.2500 0.5681 0.2500
0.7500 0.4319 0.7500
0.4319 0.0681 0.7500



Entry 4:
PBE Rb2Au3, optimized geometry; volume = 306 Å³ per cell; excess energy over the best structure of this formula in the dataset = 0.76 kJ/mol of atoms; DOS at the Fermi energy = 2.0 states/eV/cell; magnetic moment = 0.00 Bohr magnetons per cell; ΔH_f (0 K) = -0.2953 eV per atom; symmetry = Cmce
1.0
5.7308 0.0000 0.0000
-2.8654 5.8891 0.0000
0.0000 0.0000 9.0724
Au Rb
6 4
direct
0.0000 0.0000 0.0000
0.1815 0.8631 0.7500
0.5000 0.0000 0.5000
0.6815 0.8631 0.7500
0.3185 0.1369 0.2500
0.8185 0.1369 0.2500
0.3311 0.6622 0.0916
0.8311 0.6622 0.4084
0.1689 0.3378 0.5916
0.6689 0.3378 0.9084